Record 1
Density functional theory data (meta-GGA SCAN) for Ta2Rh3 at its PBEsol-relaxed geometry.

## Properties
- space-group type = R-3m
- magnetization (μB/f.u.) = 0.00
- energy above the most stable polymorph in this dataset (meV/atom) = 307

a = 11.237 Å, b = 11.237 Å, c = 11.237 Å
α = 14.33°, β = 14.33°, γ = 14.33°
Atoms (fractional coordinates):
Ta1 0.099 0.099 0.099
Ta2 0.901 0.901 0.901
Rh1 0.299 0.299 0.299
Rh2 0.500 0.500 0.500
Rh3 0.701 0.701 0.701

Record 2
Density functional theory data (meta-GGA SCAN) for CrCdPt2 at its PBEsol-relaxed geometry.

## Properties
- space-group type = P4/mmm
- magnetization (μB/f.u.) = 3.88

a = 4.049 Å, b = 4.049 Å, c = 3.791 Å
α = 90.00°, β = 90.00°, γ = 90.00°
Atoms (fractional coordinates):
Cr1 0.000 0.000 0.000
Cd1 0.500 0.500 0.000
Pt1 0.000 0.500 0.500
Pt2 0.500 0.000 0.500

Record 3
Density functional theory data (meta-GGA SCAN) for Zn4Cd at its PBEsol-relaxed geometry.

## Properties
- space-group type = I4/m
- magnetization (μB/f.u.) = 0.00
- energy above the most stable polymorph in this dataset (meV/atom) = 0

a = 4.862 Å, b = 4.862 Å, c = 4.862 Å
α = 99.49°, β = 99.49°, γ = 132.08°
Atoms (fractional coordinates):
Zn1 0.094 0.308 0.402
Zn2 0.308 0.906 0.214
Zn3 0.692 0.094 0.786
Zn4 0.906 0.692 0.598
Cd1 0.500 0.500 0.000

Fermi-level density of states? In order: 0.9527, 0.5908, 0.3088 states/eV/atom.
E_form? In order: -0.25, -0.37, 0.10 eV/atom.